The following is a DFT calculation (GGA-PBE) of a relaxed RbNaInF5 crystal.

Results
Density   3.55 g cm⁻³
Size of the total moment   0.021 μB per atom
Symmetry   No. 15
Final energy   -4.493 eV/atom

abc: 6.437 6.437 8.171
angles: 100.34 100.34 111.72
Atoms (fractional coordinates):
Rb 0.166 0.834 0.750
Rb 0.834 0.166 0.250
Na 0.182 0.818 0.250
Na 0.818 0.182 0.750
In 0.500 0.500 0.000
In 0.500 0.500 0.500
F 0.153 0.260 0.935
F 0.229 0.595 0.416
F 0.260 0.153 0.435
F 0.405 0.771 0.084
F 0.438 0.562 0.750
F 0.562 0.438 0.250
F 0.595 0.229 0.916
F 0.740 0.847 0.565
F 0.771 0.405 0.584
F 0.847 0.740 0.065